# CaLa

A relaxed structure of CaLa (GGA-PBEsol, the Alexandria database).

Structure (POSCAR):
```
CaLa
1.0
3.738 0.000 0.000
-1.869 3.237 0.000
0.000 0.000 12.437
Ca La
2 2
Cartesian
0.000 2.158 1.611
1.869 1.079 10.826
0.000 2.158 7.627
1.869 1.079 4.810
```

Results
Calculated formation energy = 0.1 eV/f.u.
Offset from the most stable computed form = 0.019 eV/atom
Volume = 37.62 Å³/atom
Size of the total moment = 0.00 μB/f.u.